[1]
First-principles (PBE) data for crystalline ScTlBr2 at its relaxed geometry, as listed in the Alexandria database.

Summary:
- energy above the lowest structure with this stoichiometry (eV per atom) = 0.561
- N(E_F) (states/eV per atom) = 0.661
- raw formation energy (eV/atom) = -0.475

Unit cell a=4.316 b=4.316 c=11.712 alpha=90.00 beta=90.00 gamma=90.00
Space group I-4m2 (No. 119)
One atom of each set of equivalent atoms:
Sc 0.000 0.000 0.000 [2 per cell]
Tl 0.000 0.500 0.750 [2 per cell]
Br 0.000 0.000 0.500 [2 per cell]
Br 0.000 0.500 0.250 [2 per cell]

---

[2]
First-principles (PBE) data for crystalline Ac12PmNi7 at its relaxed geometry, as listed in the Alexandria database.

Summary:
- ΔE_f (kJ/mol of atoms) = -14.2
- N(E_F) (states/eV per atom) = 0.984

Unit cell a=15.1724 b=15.1724 c=10.3309 alpha=90.00 beta=90.00 gamma=120.00
Space group R-3 (No. 148, hexagonal axes)
One atom of each set of equivalent atoms:
Ac 0.0263 0.5877 0.1606 [18 per cell]
Ac 0.0495 0.1734 0.8280 [18 per cell]
Pm 0.0000 0.0000 0.5000 [3 per cell]
Ni 0.0000 0.0000 0.0000 [3 per cell]
Ni 0.0495 0.1803 0.3366 [18 per cell]